Entry from Alexandria: KNiMoF6 after structural relaxation (GGA+U).

V   16.740 Å³/atom
Total energy   -4.98 eV/atom
Density   3.39 g cm⁻³

a b c (Å): 5.5479 9.5639 5.6788
angles (deg): 90.00 90.20 90.00
Closest atoms and distances in Å follow each position.
Space group C2 (No. 5)
Asymmetric unit:
K (0.0000, 0.0000, 0.0000)  6 F 2.66-2.67
Ni (0.0000, 0.3328, 0.5000)  6 F 2.05
Mo (0.0000, 0.6668, 0.5000)  6 F 2.11
F (0.1353, 0.4954, 0.6935)  1 Ni 2.05, 1 Mo 2.11
F (0.1775, 0.1847, 0.6938)  1 Ni 2.05, 1 Mo 2.11
F (0.1908, 0.8187, 0.6946)  1 Ni 2.05, 1 Mo 2.11